# 1
## Sr2Pd3PtPb4 (GGA-PBE)

Data for a geometry-optimized Sr2Pd3PtPb4 structure.

Summary:
Calculated density, g/cm3: 9.772
Magnetization, μB/cell: 0.00
Formation energy from the elements, eV/f.u.: -4.784
N(E_F), states/eV per cell: 6.06

CIF file:
```
data_Sr2Pd3PtPb4
_cell_length_a 4.8291
_cell_length_b 4.8291
_cell_length_c 11.0647
_cell_angle_alpha 90.00
_cell_angle_beta 90.00
_cell_angle_gamma 90.00
_symmetry_space_group_name_H-M 'P -4 m 2'
_symmetry_Int_Tables_number 115
_symmetry_space_group_name_Hall 'P -4 -2'
loop_
_atom_site_label
_atom_site_fract_x
_atom_site_fract_y
_atom_site_fract_z
Sr1 0.0000 0.5000 0.2369
Pd1 0.0000 0.0000 0.0000
Pd2 0.0000 0.5000 0.6337
Pt1 0.5000 0.5000 0.0000
Pb1 0.0000 0.0000 0.5000
Pb2 0.0000 0.5000 0.8789
Pb3 0.5000 0.5000 0.5000
```

# 2
## SrPdPtPb (GGA-PBE)

Data for a geometry-optimized SrPdPtPb structure.

Summary:
Calculated density, g/cm3: 10.976
Magnetization, μB/cell: 0.00
Formation energy from the elements, eV/f.u.: -1.679
N(E_F), states/eV per cell: 9.71

CIF file:
```
data_SrPdPtPb
_cell_length_a 7.1196
_cell_length_b 7.1196
_cell_length_c 7.1196
_cell_angle_alpha 90.00
_cell_angle_beta 90.00
_cell_angle_gamma 90.00
_symmetry_space_group_name_H-M 'F -4 3 m'
_symmetry_Int_Tables_number 216
_symmetry_space_group_name_Hall 'F -4 2 3'
loop_
_atom_site_label
_atom_site_fract_x
_atom_site_fract_y
_atom_site_fract_z
Sr1 0.0000 0.0000 0.0000
Pd1 0.2500 0.2500 0.7500
Pt1 0.2500 0.2500 0.2500
Pb1 0.0000 0.0000 0.5000
```

# 3
## Sr2PdPt3Pb4 (GGA-PBE)

Data for a geometry-optimized Sr2PdPt3Pb4 structure.

Summary:
Calculated density, g/cm3: 10.888
Magnetization, μB/cell: 0.00
Formation energy from the elements, eV/f.u.: -4.971
N(E_F), states/eV per cell: 4.53

CIF file:
```
data_Sr2PdPt3Pb4
_cell_length_a 4.8879
_cell_length_b 4.8879
_cell_length_c 10.8251
_cell_angle_alpha 90.00
_cell_angle_beta 90.00
_cell_angle_gamma 90.00
_symmetry_space_group_name_H-M 'P -4 m 2'
_symmetry_Int_Tables_number 115
_symmetry_space_group_name_Hall 'P -4 -2'
loop_
_atom_site_label
_atom_site_fract_x
_atom_site_fract_y
_atom_site_fract_z
Sr1 0.0000 0.5000 0.2380
Pd1 0.5000 0.5000 0.0000
Pt1 0.0000 0.0000 0.0000
Pt2 0.0000 0.5000 0.6307
Pb1 0.0000 0.0000 0.5000
Pb2 0.0000 0.5000 0.8819
Pb3 0.5000 0.5000 0.5000
```

# 4
## TbPdPtPb (GGA-PBE)

Data for a geometry-optimized TbPdPtPb structure.

Summary:
Calculated density, g/cm3: 13.372
Magnetization, μB/cell: 0.00
Formation energy from the elements, eV/f.u.: -2.910
N(E_F), states/eV per cell: 6.08

CIF file:
```
data_TbPdPtPb
_cell_length_a 6.9218
_cell_length_b 6.9218
_cell_length_c 6.9218
_cell_angle_alpha 90.00
_cell_angle_beta 90.00
_cell_angle_gamma 90.00
_symmetry_space_group_name_H-M 'F -4 3 m'
_symmetry_Int_Tables_number 216
_symmetry_space_group_name_Hall 'F -4 2 3'
loop_
_atom_site_label
_atom_site_fract_x
_atom_site_fract_y
_atom_site_fract_z
Tb1 0.0000 0.0000 0.0000
Pd1 0.2500 0.2500 0.2500
Pt1 0.2500 0.2500 0.7500
Pb1 0.0000 0.0000 0.5000
```

# 5
## ThPdPtPb (GGA-PBE)

Data for a geometry-optimized ThPdPtPb structure.

Summary:
Calculated density, g/cm3: 13.792
Magnetization, μB/cell: 0.00
Formation energy from the elements, eV/f.u.: -2.838
N(E_F), states/eV per cell: 14.06

CIF file:
```
data_ThPdPtPb
_cell_length_a 7.0922
_cell_length_b 7.0922
_cell_length_c 7.0922
_cell_angle_alpha 90.00
_cell_angle_beta 90.00
_cell_angle_gamma 90.00
_symmetry_space_group_name_H-M 'F -4 3 m'
_symmetry_Int_Tables_number 216
_symmetry_space_group_name_Hall 'F -4 2 3'
loop_
_atom_site_label
_atom_site_fract_x
_atom_site_fract_y
_atom_site_fract_z
Th1 0.0000 0.0000 0.0000
Pd1 0.2500 0.2500 0.7500
Pt1 0.2500 0.2500 0.2500
Pb1 0.0000 0.0000 0.5000
```

# 6
## TlPdPtPb (GGA-PBE)

Data for a geometry-optimized TlPdPtPb structure.

Summary:
Calculated density, g/cm3: 14.568
Magnetization, μB/cell: 0.00
Formation energy from the elements, eV/f.u.: -0.229
N(E_F), states/eV per cell: 4.46

CIF file:
```
data_TlPdPtPb
_cell_length_a 6.8763
_cell_length_b 6.8763
_cell_length_c 6.8763
_cell_angle_alpha 90.00
_cell_angle_beta 90.00
_cell_angle_gamma 90.00
_symmetry_space_group_name_H-M 'F -4 3 m'
_symmetry_Int_Tables_number 216
_symmetry_space_group_name_Hall 'F -4 2 3'
loop_
_atom_site_label
_atom_site_fract_x
_atom_site_fract_y
_atom_site_fract_z
Tl1 0.0000 0.0000 0.0000
Pd1 0.2500 0.2500 0.2500
Pt1 0.2500 0.2500 0.7500
Pb1 0.0000 0.0000 0.5000
```

# 7
## UPdPtPb (GGA-PBE)

Data for a geometry-optimized UPdPtPb structure.

Summary:
Calculated density, g/cm3: 14.906
Magnetization, μB/cell: 8.15
Formation energy from the elements, eV/f.u.: -1.296
N(E_F), states/eV per cell: 28.07

CIF file:
```
data_UPdPtPb
_cell_length_a 6.9295
_cell_length_b 6.9295
_cell_length_c 6.9295
_cell_angle_alpha 90.00
_cell_angle_beta 90.00
_cell_angle_gamma 90.00
_symmetry_space_group_name_H-M 'F -4 3 m'
_symmetry_Int_Tables_number 216
_symmetry_space_group_name_Hall 'F -4 2 3'
loop_
_atom_site_label
_atom_site_fract_x
_atom_site_fract_y
_atom_site_fract_z
U1 0.0000 0.0000 0.0000
Pd1 0.2500 0.2500 0.7500
Pt1 0.2500 0.2500 0.2500
Pb1 0.0000 0.0000 0.5000
```

# 8
## YPdPtPb (GGA-PBE)

Data for a geometry-optimized YPdPtPb structure.

Summary:
Calculated density, g/cm3: 12.004
Magnetization, μB/cell: 0.00
Formation energy from the elements, eV/f.u.: -2.911
N(E_F), states/eV per cell: 6.08

CIF file:
```
data_YPdPtPb
_cell_length_a 6.9152
_cell_length_b 6.9152
_cell_length_c 6.9152
_cell_angle_alpha 90.00
_cell_angle_beta 90.00
_cell_angle_gamma 90.00
_symmetry_space_group_name_H-M 'F -4 3 m'
_symmetry_Int_Tables_number 216
_symmetry_space_group_name_Hall 'F -4 2 3'
loop_
_atom_site_label
_atom_site_fract_x
_atom_site_fract_y
_atom_site_fract_z
Y1 0.0000 0.0000 0.0000
Pd1 0.2500 0.2500 0.7500
Pt1 0.2500 0.2500 0.2500
Pb1 0.0000 0.0000 0.5000
```

# 9
## Pu2Pd5Pb2 (GGA-PBE)

Data for a geometry-optimized Pu2Pd5Pb2 structure.

Summary:
Calculated density, g/cm3: 12.372
Magnetization, μB/cell: 44.82
Formation energy from the elements, eV/f.u.: -2.860
N(E_F), states/eV per cell: 92.30

CIF file:
```
data_Pu2Pd5Pb2
_cell_length_a 13.9388
_cell_length_b 6.8057
_cell_length_c 8.1186
_cell_angle_alpha 90.00
_cell_angle_beta 90.00
_cell_angle_gamma 90.00
_symmetry_space_group_name_H-M 'I m a 2'
_symmetry_Int_Tables_number 46
_symmetry_space_group_name_Hall 'I 2 -2a'
loop_
_atom_site_label
_atom_site_fract_x
_atom_site_fract_y
_atom_site_fract_z
Pu1 0.1257 0.0135 0.0000
Pd1 0.0470 0.1854 0.7022
Pd2 0.1512 0.6742 0.1884
Pd3 0.2500 0.1923 0.7028
Pb1 0.0000 0.0000 0.3994
Pb2 0.2500 0.5296 0.8914
```

# 10
## Pu4PdPb3 (GGA-PBE)

Data for a geometry-optimized Pu4PdPb3 structure.

Summary:
Calculated density, g/cm3: 13.355
Magnetization, μB/cell: 0.19
Formation energy from the elements, eV/f.u.: -1.770
N(E_F), states/eV per cell: 32.64

CIF file:
```
data_Pu4PdPb3
_cell_length_a 3.4459
_cell_length_b 3.4459
_cell_length_c 17.8433
_cell_angle_alpha 90.00
_cell_angle_beta 90.00
_cell_angle_gamma 90.00
_symmetry_space_group_name_H-M 'P 4/m m m'
_symmetry_Int_Tables_number 123
_symmetry_space_group_name_Hall '-P 4 2'
loop_
_atom_site_label
_atom_site_fract_x
_atom_site_fract_y
_atom_site_fract_z
Pu1 0.0000 0.0000 0.1019
Pu2 0.0000 0.0000 0.3688
Pd1 0.5000 0.5000 0.0000
Pb1 0.5000 0.5000 0.2371
Pb2 0.5000 0.5000 0.5000
```

Question: The lowest formation energy from the elements belongs to which entry?
Answer: Sr2PdPt3Pb4

Question: Which of these has the highest calculated density?
Answer: UPdPtPb

Repeat the fourth record exactly.
## TbPdPtPb (GGA-PBE)

Data for a geometry-optimized TbPdPtPb structure.

Summary:
Calculated density, g/cm3: 13.372
Magnetization, μB/cell: 0.00
Formation energy from the elements, eV/f.u.: -2.910
N(E_F), states/eV per cell: 6.08

CIF file:
```
data_TbPdPtPb
_cell_length_a 6.9218
_cell_length_b 6.9218
_cell_length_c 6.9218
_cell_angle_alpha 90.00
_cell_angle_beta 90.00
_cell_angle_gamma 90.00
_symmetry_space_group_name_H-M 'F -4 3 m'
_symmetry_Int_Tables_number 216
_symmetry_space_group_name_Hall 'F -4 2 3'
loop_
_atom_site_label
_atom_site_fract_x
_atom_site_fract_y
_atom_site_fract_z
Tb1 0.0000 0.0000 0.0000
Pd1 0.2500 0.2500 0.2500
Pt1 0.2500 0.2500 0.7500
Pb1 0.0000 0.0000 0.5000
```

Question: Look up the formation energy from the elements of the tenth one.
Answer: -1.770 eV/f.u.